# 1
Be2Tl2Ni | PBE | relaxed

CIF file:
```
data_Be2Tl2Ni
_cell_length_a 6.339
_cell_length_b 6.339
_cell_length_c 3.972
_cell_angle_alpha 90.00
_cell_angle_beta 90.00
_cell_angle_gamma 90.00
_space_group_name_H-M_alt 'P 4/m b m'
_space_group_IT_number 127
_space_group_name_Hall '-P 4 2ab'
loop_
_atom_site_label
_atom_site_fract_x
_atom_site_fract_y
_atom_site_fract_z
Be1 0.132 0.368 0.000
Tl1 0.179 0.679 0.500
Ni1 0.000 0.000 0.000
```

Properties
ΔH_f (0 K) (meV/atom): 534
Final energy (eV/cell): -30.60
Polymorph energy (0 for the lowest one) (eV/atom): 0.000

=====

# 2
BeTl3Ni | PBE | relaxed

CIF file:
```
data_BeTl3Ni
_cell_length_a 5.081
_cell_length_b 5.081
_cell_length_c 5.081
_cell_angle_alpha 90.00
_cell_angle_beta 90.00
_cell_angle_gamma 90.00
_space_group_name_H-M_alt 'P m -3 m'
_space_group_IT_number 221
_space_group_name_Hall '-P 4 2 3'
loop_
_atom_site_label
_atom_site_fract_x
_atom_site_fract_y
_atom_site_fract_z
Be1 0.000 0.000 0.000
Tl1 0.000 0.500 0.500
Ni1 0.500 0.500 0.500
```

Properties
ΔH_f (0 K) (meV/atom): 618
Final energy (eV/cell): -13.52
Polymorph energy (0 for the lowest one) (eV/atom): 0.000

=====

# 3
BeTl2Ni | PBE | relaxed

CIF file:
```
data_BeTl2Ni
_cell_length_a 3.280
_cell_length_b 4.227
_cell_length_c 5.291
_cell_angle_alpha 90.00
_cell_angle_beta 90.00
_cell_angle_gamma 90.00
_space_group_name_H-M_alt 'P m m m'
_space_group_IT_number 47
_space_group_name_Hall '-P 2 2'
loop_
_atom_site_label
_atom_site_fract_x
_atom_site_fract_y
_atom_site_fract_z
Be1 0.000 0.000 0.000
Tl1 0.500 0.000 0.500
Tl2 0.500 0.500 0.000
Ni1 0.000 0.500 0.500
```

Properties
ΔH_f (0 K) (meV/atom): 594
Final energy (eV/cell): -11.86
Polymorph energy (0 for the lowest one) (eV/atom): 0.366

=====

# 4
BeTl2Ni2 | PBE | relaxed

CIF file:
```
data_BeTl2Ni2
_cell_length_a 6.160
_cell_length_b 6.160
_cell_length_c 4.212
_cell_angle_alpha 90.00
_cell_angle_beta 90.00
_cell_angle_gamma 90.00
_space_group_name_H-M_alt 'P 4/m b m'
_space_group_IT_number 127
_space_group_name_Hall '-P 4 2ab'
loop_
_atom_site_label
_atom_site_fract_x
_atom_site_fract_y
_atom_site_fract_z
Be1 0.000 0.000 0.000
Tl1 0.172 0.328 0.500
Ni1 0.150 0.650 0.000
```

Properties
ΔH_f (0 K) (meV/atom): 295
Final energy (eV/cell): -37.09

=====

# 5
BeTl4Ni | PBE | relaxed

CIF file:
```
data_BeTl4Ni
_cell_length_a 8.760
_cell_length_b 8.760
_cell_length_c 8.760
_cell_angle_alpha 90.00
_cell_angle_beta 90.00
_cell_angle_gamma 90.00
_space_group_name_H-M_alt 'F -4 3 m'
_space_group_IT_number 216
_space_group_name_Hall 'F -4 2 3'
loop_
_atom_site_label
_atom_site_fract_x
_atom_site_fract_y
_atom_site_fract_z
Be1 0.000 0.000 0.000
Tl1 0.125 0.125 0.375
Ni1 0.250 0.250 0.750
```

Properties
ΔH_f (0 K) (meV/atom): 1011
Final energy (eV/cell): -51.64

=====

# 6
BeTl2Ni | PBE | relaxed

CIF file:
```
data_BeTl2Ni
_cell_length_a 3.184
_cell_length_b 4.177
_cell_length_c 11.723
_cell_angle_alpha 90.00
_cell_angle_beta 90.00
_cell_angle_gamma 90.00
_space_group_name_H-M_alt 'I m m 2'
_space_group_IT_number 44
_space_group_name_Hall 'I 2 -2'
loop_
_atom_site_label
_atom_site_fract_x
_atom_site_fract_y
_atom_site_fract_z
Be1 0.000 0.000 0.000
Tl1 0.000 0.000 0.420
Tl2 0.000 0.500 0.192
Ni1 0.000 0.500 0.622
```

Properties
ΔH_f (0 K) (meV/atom): 363
Final energy (eV/cell): -25.58
Polymorph energy (0 for the lowest one) (eV/atom): 0.135